(1)
BaLi2 at its PBEsol-relaxed geometry. Source: Alexandria, functional meta-GGA SCAN.

Summary:
Formation enthalpy at 0 K   0.065 eV per atom
Symmetry   C2/m
Volume   194.31 Å³/cell

Geometry as CIF:
```
data_BaLi2
_chemical_formula_sum 'Ba2 Li4'
_cell_length_a 3.854
_cell_length_b 6.479
_cell_length_c 8.667
_cell_angle_alpha 108.92
_cell_angle_beta 90.00
_cell_angle_gamma 107.30
_symmetry_space_group_name_H-M 'P 1'
_symmetry_Int_Tables_number 1
loop_
_symmetry_equiv_pos_as_xyz
'x,y,z'
loop_
_atom_site_label
_atom_site_fract_x
_atom_site_fract_y
_atom_site_fract_z
Li1 0.150 0.299 0.529
Li2 0.850 0.701 0.471
Li3 0.470 0.939 0.301
Li4 0.530 0.061 0.699
Ba1 0.842 0.684 0.873
Ba2 0.158 0.316 0.127
```

***

(2)
BaLi2 at its PBEsol-relaxed geometry. Source: Alexandria, functional meta-GGA SCAN.

Summary:
Formation enthalpy at 0 K   0.058 eV per atom
Symmetry   I4_1/amd
Volume   219.94 Å³/cell

Geometry as CIF:
```
data_BaLi2
_chemical_formula_sum 'Ba2 Li4'
_cell_length_a 4.943
_cell_length_b 4.943
_cell_length_c 9.660
_cell_angle_alpha 104.85
_cell_angle_beta 104.85
_cell_angle_gamma 90.00
_symmetry_space_group_name_H-M 'P 1'
_symmetry_Int_Tables_number 1
loop_
_symmetry_equiv_pos_as_xyz
'x,y,z'
loop_
_atom_site_label
_atom_site_fract_x
_atom_site_fract_y
_atom_site_fract_z
Ba1 0.000 0.000 0.000
Ba2 0.250 0.750 0.500
Li1 0.583 0.583 0.166
Li2 0.833 0.333 0.666
Li3 0.667 0.167 0.334
Li4 0.417 0.417 0.834
```

***

(3)
BaLi2 at its PBEsol-relaxed geometry. Source: Alexandria, functional meta-GGA SCAN.

Summary:
Formation enthalpy at 0 K   0.051 eV per atom
Symmetry   P6/mmm
Volume   108.85 Å³/cell

Geometry as CIF:
```
data_BaLi2
_chemical_formula_sum 'Ba1 Li2'
_cell_length_a 4.521
_cell_length_b 5.273
_cell_length_c 5.273
_cell_angle_alpha 120.00
_cell_angle_beta 90.00
_cell_angle_gamma 90.00
_symmetry_space_group_name_H-M 'P 1'
_symmetry_Int_Tables_number 1
loop_
_symmetry_equiv_pos_as_xyz
'x,y,z'
loop_
_atom_site_label
_atom_site_fract_x
_atom_site_fract_y
_atom_site_fract_z
Li1 0.000 0.333 0.667
Li2 0.000 0.667 0.333
Ba1 0.500 0.000 0.000
```

***

(4)
Ba5Li24 at its PBEsol-relaxed geometry. Source: Alexandria, functional meta-GGA SCAN.

Summary:
Formation enthalpy at 0 K   0.047 eV per atom
Symmetry   I-43m
Volume   787.44 Å³/cell

Geometry as CIF:
```
data_Ba5Li24
_chemical_formula_sum 'Ba5 Li24'
_cell_length_a 10.076
_cell_length_b 10.076
_cell_length_c 10.076
_cell_angle_alpha 109.47
_cell_angle_beta 109.47
_cell_angle_gamma 109.47
_symmetry_space_group_name_H-M 'P 1'
_symmetry_Int_Tables_number 1
loop_
_symmetry_equiv_pos_as_xyz
'x,y,z'
loop_
_atom_site_label
_atom_site_fract_x
_atom_site_fract_y
_atom_site_fract_z
Li1 0.000 0.398 0.655
Li2 0.188 0.807 0.807
Li3 0.619 0.619 0.812
Li4 0.398 0.655 0.000
Li5 0.743 0.345 0.345
Li6 0.619 0.812 0.619
Li7 0.000 0.381 0.193
Li8 0.345 0.743 0.345
Li9 0.193 0.381 0.000
Li10 0.000 0.655 0.398
Li11 0.193 0.000 0.381
Li12 0.602 0.602 0.257
Li13 0.257 0.602 0.602
Li14 0.345 0.345 0.743
Li15 0.807 0.188 0.807
Li16 0.807 0.807 0.188
Li17 0.812 0.619 0.619
Li18 0.602 0.257 0.602
Li19 0.655 0.398 0.000
Li20 0.381 0.193 0.000
Li21 0.398 0.000 0.655
Li22 0.381 0.000 0.193
Li23 0.655 0.000 0.398
Li24 0.000 0.193 0.381
Ba1 0.000 0.000 0.000
Ba2 0.620 0.000 0.000
Ba3 0.000 0.620 0.000
Ba4 0.380 0.380 0.380
Ba5 0.000 0.000 0.620
```

***

(5)
BaLi at its PBEsol-relaxed geometry. Source: Alexandria, functional meta-GGA SCAN.

Summary:
Formation enthalpy at 0 K   0.084 eV per atom
Symmetry   P6_3/mmc
Volume   164.34 Å³/cell
Energy relative to the lowest polymorph listed for this composition   0.13 eV/f.u.

Geometry as CIF:
```
data_BaLi
_chemical_formula_sum 'Ba2 Li2'
_cell_length_a 5.227
_cell_length_b 6.025
_cell_length_c 6.025
_cell_angle_alpha 120.00
_cell_angle_beta 90.00
_cell_angle_gamma 90.00
_symmetry_space_group_name_H-M 'P 1'
_symmetry_Int_Tables_number 1
loop_
_symmetry_equiv_pos_as_xyz
'x,y,z'
loop_
_atom_site_label
_atom_site_fract_x
_atom_site_fract_y
_atom_site_fract_z
Ba1 0.750 0.667 0.333
Ba2 0.250 0.333 0.667
Li1 0.500 0.000 0.000
Li2 0.000 0.000 0.000
```

***

(6)
Ba2Li at its PBEsol-relaxed geometry. Source: Alexandria, functional meta-GGA SCAN.

Summary:
Formation enthalpy at 0 K   0.038 eV per atom
Symmetry   I4/mcm
Volume   283.26 Å³/cell
Energy relative to the lowest polymorph listed for this composition   0.05 eV/f.u.

Geometry as CIF:
```
data_Ba2Li
_chemical_formula_sum 'Ba4 Li2'
_cell_length_a 7.162
_cell_length_b 7.237
_cell_length_c 7.237
_cell_angle_alpha 75.83
_cell_angle_beta 60.34
_cell_angle_gamma 60.34
_symmetry_space_group_name_H-M 'P 1'
_symmetry_Int_Tables_number 1
loop_
_symmetry_equiv_pos_as_xyz
'x,y,z'
loop_
_atom_site_label
_atom_site_fract_x
_atom_site_fract_y
_atom_site_fract_z
Li1 0.250 0.000 0.000
Li2 0.750 0.000 0.000
Ba1 0.164 0.500 0.171
Ba2 0.336 0.829 0.500
Ba3 0.664 0.171 0.500
Ba4 0.836 0.500 0.829
```

***

(7)
Ba5Li at its PBEsol-relaxed geometry. Source: Alexandria, functional meta-GGA SCAN.

Summary:
Formation enthalpy at 0 K   0.093 eV per atom
Symmetry   P-62m
Volume   315.91 Å³/cell
Energy relative to the lowest polymorph listed for this composition   0.39 eV/f.u.

Geometry as CIF:
```
data_Ba5Li
_chemical_formula_sum 'Ba5 Li1'
_cell_length_a 6.841
_cell_length_b 7.302
_cell_length_c 7.302
_cell_angle_alpha 120.00
_cell_angle_beta 90.00
_cell_angle_gamma 90.00
_symmetry_space_group_name_H-M 'P 1'
_symmetry_Int_Tables_number 1
loop_
_symmetry_equiv_pos_as_xyz
'x,y,z'
loop_
_atom_site_label
_atom_site_fract_x
_atom_site_fract_y
_atom_site_fract_z
Ba1 0.500 0.667 0.333
Ba2 0.500 0.333 0.667
Ba3 0.000 0.000 0.677
Ba4 0.000 0.677 0.000
Ba5 0.000 0.323 0.323
Li1 0.500 0.000 0.000
```

***

(8)
BaLi3 at its PBEsol-relaxed geometry. Source: Alexandria, functional meta-GGA SCAN.

Summary:
Formation enthalpy at 0 K   0.049 eV per atom
Symmetry   P4/mmm
Volume   118.97 Å³/cell

Geometry as CIF:
```
data_BaLi3
_chemical_formula_sum 'Ba1 Li3'
_cell_length_a 3.888
_cell_length_b 3.888
_cell_length_c 7.870
_cell_angle_alpha 90.00
_cell_angle_beta 90.00
_cell_angle_gamma 90.00
_symmetry_space_group_name_H-M 'P 1'
_symmetry_Int_Tables_number 1
loop_
_symmetry_equiv_pos_as_xyz
'x,y,z'
loop_
_atom_site_label
_atom_site_fract_x
_atom_site_fract_y
_atom_site_fract_z
Li1 0.500 0.500 0.320
Li2 0.000 0.000 0.500
Li3 0.500 0.500 0.680
Ba1 0.000 0.000 0.000
```

***

The highest volume belongs to which entry?
Ba5Li24

***

volume of number 2 (BaLi2)?
219.94 Å³/cell

***

Repeat the first record exactly.
BaLi2 at its PBEsol-relaxed geometry. Source: Alexandria, functional meta-GGA SCAN.

Summary:
Formation enthalpy at 0 K   0.065 eV per atom
Symmetry   C2/m
Volume   194.31 Å³/cell

Geometry as CIF:
```
data_BaLi2
_chemical_formula_sum 'Ba2 Li4'
_cell_length_a 3.854
_cell_length_b 6.479
_cell_length_c 8.667
_cell_angle_alpha 108.92
_cell_angle_beta 90.00
_cell_angle_gamma 107.30
_symmetry_space_group_name_H-M 'P 1'
_symmetry_Int_Tables_number 1
loop_
_symmetry_equiv_pos_as_xyz
'x,y,z'
loop_
_atom_site_label
_atom_site_fract_x
_atom_site_fract_y
_atom_site_fract_z
Li1 0.150 0.299 0.529
Li2 0.850 0.701 0.471
Li3 0.470 0.939 0.301
Li4 0.530 0.061 0.699
Ba1 0.842 0.684 0.873
Ba2 0.158 0.316 0.127
```

***

The lowest formation enthalpy at 0 K belongs to which entry?
Ba2Li